Entry 1:
VASP calculation (GGA-PBE) on a relaxed structure of Sm7Y4Tm.

Summary:
- calculated density (Mg/m³) = 6.6
- energy relative to the elements (meV per atom) = 3
- energy relative to the lowest polymorph listed for this composition (meV per atom) = 0.0
- raw total energy (eV per cell) = -63.3

Unit cell a=6.2865 b=7.2512 c=8.9407 alpha=89.97 beta=76.45 gamma=89.96
Space group P-1 (No. 2)
Inequivalent atoms, fractional coordinates:
1 Sm 0.0000 0.0000 0.0000
2 Sm 0.2206 0.4999 0.3340
3 Sm 0.2773 0.7492 0.6671
4 Sm 0.5000 0.2493 0.0003
5 Y 0.2220 0.9999 0.3344
6 Y 0.2790 0.2498 0.6674
7 Tm 0.0000 0.5000 0.0000

***

Entry 2:
VASP calculation (GGA-PBE) on a relaxed structure of SmY2Tm12.

Summary:
- calculated density (Mg/m³) = 8.5
- energy relative to the elements (meV per atom) = 56
- raw total energy (eV per cell) = -70.5

Unit cell a=3.4750 b=5.4652 c=24.4746 alpha=83.81 beta=85.97 gamma=89.99
Space group P-1 (No. 2)
Inequivalent atoms, fractional coordinates:
1 Sm 0.0000 0.0000 0.0000
2 Y 0.3586 0.8607 0.2755
3 Tm 0.0968 0.5944 0.8073
4 Tm 0.1705 0.6673 0.6672
5 Tm 0.2049 0.2011 0.5971
6 Tm 0.2678 0.2717 0.4587
7 Tm 0.4322 0.9342 0.1354
8 Tm 0.4659 0.4677 0.0667

***

Entry 3:
VASP calculation (GGA-PBE) on a relaxed structure of Sm5Y12Tm.

Summary:
- calculated density (Mg/m³) = 5.6
- energy relative to the elements (meV per atom) = 22
- raw total energy (eV per cell) = -105.2

Unit cell a=10.7389 b=5.0662 c=10.7516 alpha=90.00 beta=90.09 gamma=90.00
Space group P2/m (No. 10)
Inequivalent atoms, fractional coordinates:
1 Sm 0.0000 0.0000 0.0000
2 Sm 0.1670 0.5000 0.8331
3 Sm 0.3344 0.0000 0.6656
4 Y 0.0000 0.0000 0.3341
5 Y 0.1669 0.5000 0.1669
6 Y 0.1679 0.5000 0.4997
7 Y 0.3341 0.0000 0.0000
8 Y 0.3341 0.0000 0.3341
9 Y 0.4997 0.5000 0.1680
10 Tm 0.5000 0.5000 0.5000

***

Entry 4:
VASP calculation (GGA-PBE) on a relaxed structure of SmYTm6.

Summary:
- calculated density (Mg/m³) = 8.4
- energy relative to the elements (meV per atom) = 129
- energy relative to the lowest polymorph listed for this composition (meV per atom) = 101.1
- raw total energy (eV per cell) = -74.0

Unit cell a=7.3566 b=11.6292 c=5.8112 alpha=90.00 beta=90.00 gamma=90.00
Space group Cmmm (No. 65)
Inequivalent atoms, fractional coordinates:
1 Sm 0.0000 0.0000 0.0000
2 Y 0.0000 0.5000 0.0000
3 Tm 0.0000 0.2481 0.5000
4 Tm 0.2460 0.5000 0.5000
5 Tm 0.2500 0.2500 0.0000

***

Entry 5:
VASP calculation (GGA-PBE) on a relaxed structure of Sm2YTm.

Summary:
- calculated density (Mg/m³) = 7.0
- energy relative to the elements (meV per atom) = 15
- energy relative to the lowest polymorph listed for this composition (meV per atom) = 0.0
- raw total energy (eV per cell) = -40.6

Unit cell a=5.7078 b=7.3110 c=6.3126 alpha=90.00 beta=90.00 gamma=90.00
Space group Pmmn (No. 59, origin choice 2)
Inequivalent atoms, fractional coordinates:
1 Sm 0.2500 0.0007 0.1677
2 Y 0.2500 0.2500 0.6628
3 Tm 0.2500 0.7500 0.6667

***

Entry 6:
VASP calculation (GGA-PBE) on a relaxed structure of Sm3YTm5.

Summary:
- calculated density (Mg/m³) = 7.1
- energy relative to the elements (meV per atom) = 537
- energy relative to the lowest polymorph listed for this composition (meV per atom) = 222.3
- raw total energy (eV per cell) = -152.6

Unit cell a=15.2661 b=11.1784 c=10.0145 alpha=90.00 beta=130.86 gamma=90.00
Space group C2/m (No. 12)
Inequivalent atoms, fractional coordinates:
1 Sm 0.0000 0.0000 0.0000
2 Sm 0.0000 0.5000 0.5000
3 Sm 0.0103 0.0000 0.3060
4 Sm 0.0248 0.5000 0.8672
5 Y 0.2480 0.5000 0.8974
6 Tm 0.0000 0.2389 0.5000
7 Tm 0.1591 0.2502 0.2537
8 Tm 0.2141 0.0000 0.7233
9 Tm 0.2213 0.5000 0.5326

***

Entry 7:
VASP calculation (GGA-PBE) on a relaxed structure of Sm9YTm2.

Summary:
- calculated density (Mg/m³) = 7.5
- energy relative to the elements (meV per atom) = 18
- raw total energy (eV per cell) = -57.7

Unit cell a=5.0903 b=5.0903 c=15.2722 alpha=90.00 beta=90.00 gamma=90.00
Space group P4/mmm (No. 123)
Inequivalent atoms, fractional coordinates:
1 Sm 0.0000 0.0000 0.0000
2 Sm 0.0000 0.0000 0.3344
3 Sm 0.0000 0.5000 0.1682
4 Sm 0.0000 0.5000 0.5000
5 Y 0.5000 0.5000 0.0000
6 Tm 0.5000 0.5000 0.3341

***

Entry 8:
VASP calculation (GGA-PBE) on a relaxed structure of SmY2Tm3.

Summary:
- calculated density (Mg/m³) = 7.4
- energy relative to the elements (meV per atom) = 26
- energy relative to the lowest polymorph listed for this composition (meV per atom) = 0.0
- raw total energy (eV per cell) = -123.6

Unit cell a=17.3410 b=7.0834 c=6.1245 alpha=90.00 beta=90.13 gamma=90.00
Space group C2/c (No. 15)
Inequivalent atoms, fractional coordinates:
1 Sm 0.0000 0.1244 0.2500
2 Y 0.1670 0.3748 0.4164
3 Tm 0.0000 0.3751 0.7500
4 Tm 0.1671 0.1250 0.9169

***

Entry 9:
VASP calculation (GGA-PBE) on a relaxed structure of SmY6Tm12.

Summary:
- calculated density (Mg/m³) = 7.0
- energy relative to the elements (meV per atom) = 458
- energy relative to the lowest polymorph listed for this composition (meV per atom) = 265.3
- raw total energy (eV per cell) = -265.4

Unit cell a=15.0779 b=15.0779 c=9.7840 alpha=90.00 beta=90.00 gamma=120.00
Space group R-3m (No. 166, hexagonal axes)
Inequivalent atoms, fractional coordinates:
1 Sm 0.0000 0.0000 0.0000
2 Y 0.0511 0.5256 0.2032
3 Tm 0.0000 0.3914 0.5000
4 Tm 0.0711 0.1422 0.2890

***

Entry 10:
VASP calculation (GGA-PBE) on a relaxed structure of Sm4YTm4.

Summary:
- calculated density (Mg/m³) = 7.9
- energy relative to the elements (meV per atom) = 24
- raw total energy (eV per cell) = -86.0

Unit cell a=10.6959 b=10.6959 c=5.0215 alpha=90.00 beta=90.00 gamma=90.00
Space group I4/mmm (No. 139)
Inequivalent atoms, fractional coordinates:
1 Sm 0.0000 0.3315 0.0000
2 Y 0.0000 0.0000 0.0000
3 Tm 0.1665 0.1665 0.5000

***

Copy entry 2 word for word.
VASP calculation (GGA-PBE) on a relaxed structure of SmY2Tm12.

Summary:
- calculated density (Mg/m³) = 8.5
- energy relative to the elements (meV per atom) = 56
- raw total energy (eV per cell) = -70.5

Unit cell a=3.4750 b=5.4652 c=24.4746 alpha=83.81 beta=85.97 gamma=89.99
Space group P-1 (No. 2)
Inequivalent atoms, fractional coordinates:
1 Sm 0.0000 0.0000 0.0000
2 Y 0.3586 0.8607 0.2755
3 Tm 0.0968 0.5944 0.8073
4 Tm 0.1705 0.6673 0.6672
5 Tm 0.2049 0.2011 0.5971
6 Tm 0.2678 0.2717 0.4587
7 Tm 0.4322 0.9342 0.1354
8 Tm 0.4659 0.4677 0.0667